(i)
Material: Tc2SbPb
Method: DFT, GGA-PBEsol
State: relaxed

CIF file:
```
data_Tc2SbPb
_symmetry_space_group_name_H-M 'P 4 m m'
_symmetry_Int_Tables_number 99
_symmetry_space_group_name_Hall 'P 4 -2'
_cell_length_a 3.051
_cell_length_b 3.051
_cell_length_c 8.357
_cell_angle_alpha 90.00
_cell_angle_beta 90.00
_cell_angle_gamma 90.00
loop_
_atom_site_label
_atom_site_type_symbol
_atom_site_fract_x
_atom_site_fract_y
_atom_site_fract_z
Tc1 Tc 0.000 0.000 0.000
Tc2 Tc 0.500 0.500 0.178
Sb1 Sb 0.500 0.500 0.782
Pb1 Pb 0.000 0.000 0.427
```

Volume = 77.8 Å³ per cell

=====

(ii)
Material: Tc2SbPb
Method: DFT, GGA-PBEsol
State: relaxed

CIF file:
```
data_Tc2SbPb
_symmetry_space_group_name_H-M 'C 1 m 1'
_symmetry_Int_Tables_number 8
_symmetry_space_group_name_Hall 'C -2y'
_cell_length_a 9.748
_cell_length_b 3.163
_cell_length_c 4.996
_cell_angle_alpha 90.00
_cell_angle_beta 110.55
_cell_angle_gamma 90.00
loop_
_atom_site_label
_atom_site_type_symbol
_atom_site_fract_x
_atom_site_fract_y
_atom_site_fract_z
Tc1 Tc 0.000 0.000 0.000
Tc2 Tc 0.212 0.500 0.372
Sb1 Sb 0.464 0.000 0.510
Pb1 Pb 0.248 0.000 0.882
```

Volume = 144.2 Å³ per cell

=====

According to the calculations, the structures order from most to least stable as (i), (ii).

=====

(i)
Material: SbTePb2
Method: DFT, GGA-PBEsol
State: relaxed

CIF file:
```
data_SbTePb2
_symmetry_space_group_name_H-M 'P 4 m m'
_symmetry_Int_Tables_number 99
_symmetry_space_group_name_Hall 'P 4 -2'
_cell_length_a 4.463
_cell_length_b 4.463
_cell_length_c 6.378
_cell_angle_alpha 90.00
_cell_angle_beta 90.00
_cell_angle_gamma 90.00
loop_
_atom_site_label
_atom_site_type_symbol
_atom_site_fract_x
_atom_site_fract_y
_atom_site_fract_z
Sb1 Sb 0.000 0.000 0.000
Te1 Te 0.500 0.500 0.498
Pb1 Pb 0.000 0.000 0.501
Pb2 Pb 0.500 0.500 0.998
```

Volume = 127.0 Å³ per cell

=====

(ii)
Material: SbTePb2
Method: DFT, GGA-PBEsol
State: relaxed

CIF file:
```
data_SbTePb2
_symmetry_space_group_name_H-M 'P m m m'
_symmetry_Int_Tables_number 47
_symmetry_space_group_name_Hall '-P 2 2'
_cell_length_a 3.798
_cell_length_b 5.418
_cell_length_c 5.509
_cell_angle_alpha 90.00
_cell_angle_beta 90.00
_cell_angle_gamma 90.00
loop_
_atom_site_label
_atom_site_type_symbol
_atom_site_fract_x
_atom_site_fract_y
_atom_site_fract_z
Sb1 Sb 0.000 0.000 0.000
Te1 Te 0.500 0.500 0.000
Pb1 Pb 0.000 0.500 0.500
Pb2 Pb 0.500 0.000 0.500
```

Volume = 113.4 Å³ per cell

=====

According to the calculations, the structures order from most to least stable as (i), (ii).

=====

(i)
Material: Sc4Pb
Method: DFT, GGA-PBEsol
State: relaxed

CIF file:
```
data_Sc4Pb
_symmetry_space_group_name_H-M 'I 4/m m m'
_symmetry_Int_Tables_number 139
_symmetry_space_group_name_Hall '-I 4 2'
_cell_length_a 4.037
_cell_length_b 4.037
_cell_length_c 15.133
_cell_angle_alpha 90.00
_cell_angle_beta 90.00
_cell_angle_gamma 90.00
loop_
_atom_site_label
_atom_site_type_symbol
_atom_site_fract_x
_atom_site_fract_y
_atom_site_fract_z
Sc1 Sc 0.000 0.000 0.089
Sc2 Sc 0.000 0.500 0.250
Pb1 Pb 0.000 0.000 0.500
```

Volume = 246.7 Å³ per cell

=====

(ii)
Material: Sc4Pb
Method: DFT, GGA-PBEsol
State: relaxed

CIF file:
```
data_Sc4Pb
_symmetry_space_group_name_H-M 'I 4/m'
_symmetry_Int_Tables_number 87
_symmetry_space_group_name_Hall '-I 4'
_cell_length_a 7.244
_cell_length_b 7.244
_cell_length_c 4.332
_cell_angle_alpha 90.00
_cell_angle_beta 90.00
_cell_angle_gamma 90.00
loop_
_atom_site_label
_atom_site_type_symbol
_atom_site_fract_x
_atom_site_fract_y
_atom_site_fract_z
Sc1 Sc 0.110 0.306 0.000
Pb1 Pb 0.000 0.000 0.500
```

Volume = 227.3 Å³ per cell

=====

According to the calculations, the structures order from most to least stable as (ii), (i).